1.
A plane-wave DFT calculation with PBE was carried out for a geometry-optimized UNiRh3 structure.

Calculated values
The calculation puts the volume at 16.56 A^3/atom.

Unit cell a=4.494 b=5.659 c=6.512 alpha=90.00 beta=90.00 gamma=90.00
Space group Pmmn (No. 59, origin choice 2)
Asymmetric unit:
U  0.250  0.250  0.038
Ni  0.250  0.750  0.310
Rh  0.250  0.250  0.399
Rh  0.250  0.513  0.741

2.
A plane-wave DFT calculation with PBE was carried out for a geometry-optimized UNiRh6 structure.

Calculated values
The calculation puts the volume at 15.00 A^3/atom.

Unit cell a=5.540 b=5.540 c=3.910 alpha=90.00 beta=90.00 gamma=90.00
Space group P4/mmm (No. 123)
Asymmetric unit:
U  0.000  0.000  0.000
Ni  0.500  0.500  0.000
Rh  0.000  0.500  0.000
Rh  0.256  0.256  0.500

3.
A plane-wave DFT calculation with PBE was carried out for a geometry-optimized UNiRh4 structure.

Calculated values
The calculation puts the volume at 15.37 A^3/atom.

Unit cell a=9.194 b=4.471 c=5.550 alpha=90.00 beta=126.06 gamma=90.00
Space group C2/m (No. 12)
Asymmetric unit:
U  0.000  0.000  0.000
Ni  0.000  0.000  0.500
Rh  0.162  0.500  0.535
Rh  0.170  0.500  0.045

What total magnetic moment values result from the calculations? In sequence: 0.0 1.2 0.0 μB per formula unit.
What energy of formation values result from the calculations? In sequence: -27.1 -27.2 -26.6 kJ per mole of atoms.